1.
Ca2GaSn2Rh5: optimized geometry, PBE.

Lattice parameters (Å, degrees): 3.4806 10.3535 10.3535 90.00 90.00 90.00
With the nearest neighbours (Å) after each atom.
Sites, in units of the cell vectors:
Ca 0.0000 0.8327 0.6673  3 Sn 2.91-3.14, 2 Rh 3.01
Ga 0.0000 0.0000 0.0000  8 Rh 2.69
Rh 0.5000 0.8124 0.9383  2 Sn 2.65, 2 Ga 2.69, 2 Rh 2.89
Rh 0.5000 0.9383 0.1876  2 Sn 2.65, 2 Ga 2.69, 2 Rh 2.89
Ca 0.0000 0.1673 0.3327  3 Sn 2.91-3.14, 2 Rh 3.01
Rh 0.5000 0.6876 0.4383  2 Sn 2.65, 2 Ga 2.69, 2 Rh 2.89
Sn 0.0000 0.3662 0.1338  6 Rh 2.62-2.65, 1 Ca 2.91
Rh 0.5000 0.0000 0.5000  4 Sn 2.62
Rh 0.5000 0.4383 0.3124  2 Sn 2.65, 2 Ga 2.69, 2 Rh 2.89
Rh 0.5000 0.3124 0.5617  2 Sn 2.65, 2 Ga 2.69, 2 Rh 2.89
Rh 0.5000 0.5617 0.6876  2 Sn 2.65, 2 Ga 2.69, 2 Rh 2.89
Ca 0.0000 0.3327 0.8327  3 Sn 2.91-3.14, 2 Rh 3.01
Ga 0.0000 0.5000 0.5000  8 Rh 2.69
Ca 0.0000 0.6673 0.1673  3 Sn 2.91-3.14, 2 Rh 3.01
Sn 0.0000 0.6338 0.8662  6 Rh 2.62-2.65, 1 Ca 2.91
Rh 0.5000 0.5000 0.0000  4 Sn 2.62
Rh 0.5000 0.1876 0.0617  2 Sn 2.65, 2 Ga 2.69, 2 Rh 2.89
Sn 0.0000 0.1338 0.6338  6 Rh 2.62-2.65, 1 Ca 2.91
Sn 0.0000 0.8662 0.3662  6 Rh 2.62-2.65, 1 Ca 2.91
Rh 0.5000 0.0617 0.8124  2 Sn 2.65, 2 Ga 2.69, 2 Rh 2.89

For the formation enthalpy at 0 K, the calculation gives -0.4777 eV/atom. The total energy is -5.657 eV/atom.

2.
KSb2Te: optimized geometry, PBE.

Lattice parameters (Å, degrees): 5.8182 5.8182 5.8182 126.75 126.75 78.66
With the nearest neighbours (Å) after each atom.
Sites, in units of the cell vectors:
Sb 0.0000 0.0000 0.0000  4 K 3.44, 4 Sb 3.44, 4 Te 3.69
Sb 0.2500 0.7500 0.5000  4 Sb 3.44, 4 Te 3.44, 4 K 3.69
Te 0.5000 0.5000 0.0000  8 Sb 3.44-3.69, 4 K 3.44
K 0.7500 0.2500 0.5000  4 Te 3.44, 8 Sb 3.44-3.69

The total energy is -3.174 eV/atom. As for the formation energy from raw total energies: -0.0533 eV per atom.

3.
MnAgAs2Br: optimized geometry, PBE.

Lattice parameters (Å, degrees): 4.5553 4.5553 5.6253 90.00 90.00 90.00
With the nearest neighbours (Å) after each atom.
Sites, in units of the cell vectors:
Mn 0.0000 0.0000 0.0000  4 As 2.28
Ag 0.5000 0.5000 0.5000  4 Br 3.22
Br 0.0000 0.0000 0.5000  2 Mn 2.81
As 0.0000 0.5000 0.0000  2 Mn 2.28
As 0.5000 0.0000 0.0000  2 Mn 2.28

The total energy is -4.255 eV/atom. The value obtained for the relative energy among the computed polymorphs is 0.00 eV per formula unit. As for the formation energy from raw total energies: 0.3438 eV per atom.

4.
ZrBi2PbO6: optimized geometry, PBE.

Lattice parameters (Å, degrees): 6.0567 6.0554 6.2461 89.99 119.01 120.02
With the nearest neighbours (Å) after each atom.
Sites, in units of the cell vectors:
O 0.8350 0.7240 0.1613  1 Zr 2.08
O 0.5484 0.9192 0.6850  1 Zr 2.25, 2 Bi 2.29-2.39, 1 Pb 2.47
Pb 0.0330 0.5160 0.5350  6 O 2.47-2.70
O 0.7800 0.6280 0.6851  1 Zr 2.25, 2 Bi 2.29-2.39, 1 Pb 2.47
Bi 0.5893 0.2942 0.8693  6 O 2.39-2.41
O 0.0659 0.3406 0.1617  1 Zr 2.08
O 0.0714 0.1511 0.6853  1 Zr 2.25, 2 Bi 2.30-2.39, 1 Pb 2.47
Bi 0.5862 0.7926 0.3650  6 O 2.29-2.56
Zr 0.0052 0.0021 0.9932  6 O 2.08-2.25
O 0.4514 0.1098 0.1616  1 Zr 2.08

The total energy is -6.749 eV/atom. As for the formation energy from raw total energies: -1.7725 eV per atom.

5.
Na3MoCl: optimized geometry, PBE.

Lattice parameters (Å, degrees): 5.3961 5.3961 5.3961 90.00 90.00 90.00
With the nearest neighbours (Å) after each atom.
Sites, in units of the cell vectors:
Cl 0.0000 0.0000 0.0000  6 Na 2.70
Na 0.5000 0.0000 0.0000  2 Cl 2.70
Mo 0.5000 0.5000 0.5000  12 Na 3.82
Na 0.0000 0.5000 0.0000  2 Cl 2.70
Na 0.0000 0.0000 0.5000  2 Cl 2.70

The total energy is -2.998 eV/atom. The value obtained for the relative energy among the computed polymorphs is 0.00 eV per formula unit. As for the formation energy from raw total energies: 0.3286 eV per atom.

6.
ZnIn3I4: optimized geometry, PBE.

Lattice parameters (Å, degrees): 6.8539 11.0657 9.1615 90.00 90.00 90.00
With the nearest neighbours (Å) after each atom.
Sites, in units of the cell vectors:
I 0.5754 0.6577 0.2599  1 Zn 2.82
I 0.0790 0.8032 0.5000  1 Zn 2.86
I 0.5754 0.6577 0.7401  1 Zn 2.82
In 0.0736 0.6516 0.1884  5 I 3.31-3.68, 1 In 3.45
I 0.5726 0.0546 0.5000  1 Zn 2.77
In 0.5736 0.3484 0.3116  5 I 3.31-3.68, 1 In 3.45
In 0.5696 0.8871 0.0000  5 I 3.43-3.51
Zn 0.9961 0.1913 0.0000  4 I 2.77-2.86
I 0.0754 0.3423 0.2401  1 Zn 2.82
I 0.0754 0.3423 0.7599  1 Zn 2.82
In 0.0696 0.1129 0.5000  5 I 3.43-3.51
Zn 0.4961 0.8087 0.5000  4 I 2.77-2.86
In 0.5736 0.3484 0.6884  5 I 3.31-3.68, 1 In 3.45
I 0.5790 0.1968 0.0000  1 Zn 2.86
I 0.0726 0.9454 0.0000  1 Zn 2.77
In 0.0736 0.6516 0.8116  5 I 3.31-3.68, 1 In 3.45

The total energy is -2.250 eV/atom. As for the formation energy from raw total energies: -0.2890 eV per atom.

7.
Cr3Ni8: optimized geometry, PBE.

Lattice parameters (Å, degrees): 5.3144 5.3144 5.3144 96.43 96.43 96.43
With the nearest neighbours (Å) after each atom.
Sites, in units of the cell vectors:
Cr 0.5000 0.0000 0.5000  4 Ni 2.30-2.33
Ni 0.0465 0.6851 0.9242  4 Ni 2.23-2.46, 1 Cr 2.33
Ni 0.9242 0.0465 0.6851  4 Ni 2.23-2.46, 1 Cr 2.33
Ni 0.9535 0.3149 0.0758  4 Ni 2.23-2.46, 1 Cr 2.33
Cr 0.0000 0.5000 0.5000  4 Ni 2.30-2.33
Ni 0.3598 0.3598 0.3598  4 Ni 2.27-2.46, 3 Cr 2.30
Ni 0.3149 0.0758 0.9535  4 Ni 2.23-2.46, 1 Cr 2.33
Ni 0.0758 0.9535 0.3149  4 Ni 2.23-2.46, 1 Cr 2.33
Ni 0.6851 0.9242 0.0465  4 Ni 2.23-2.46, 1 Cr 2.33
Ni 0.6402 0.6402 0.6402  4 Ni 2.27-2.46, 3 Cr 2.30
Cr 0.5000 0.5000 0.0000  4 Ni 2.30-2.33

For the formation enthalpy at 0 K, the calculation gives 0.6520 eV/atom. The total energy is -6.177 eV/atom.

8.
KGaBr2: optimized geometry, PBE.

Lattice parameters (Å, degrees): 5.5455 5.5455 5.5455 60.00 60.00 60.00
With the nearest neighbours (Å) after each atom.
Sites, in units of the cell vectors:
Ga 0.5000 0.5000 0.5000  8 Br 3.40
Br 0.7500 0.7500 0.7500  4 Ga 3.40, 4 K 3.40
Br 0.2500 0.2500 0.2500  4 K 3.40, 4 Ga 3.40
K 0.0000 0.0000 0.0000  8 Br 3.40

The total energy is -2.926 eV/atom. The value obtained for the relative energy among the computed polymorphs is 0.32 eV per formula unit. As for the formation energy from raw total energies: -1.0586 eV per atom.

9.
EuIn2Sn: optimized geometry, PBE.

Lattice parameters (Å, degrees): 4.8745 4.6900 4.6900 90.00 90.00 90.00
With the nearest neighbours (Å) after each atom.
Sites, in units of the cell vectors:
Sn 0.5000 0.0000 0.0000  4 Eu 3.32, 8 In 3.38
In 0.0000 0.5000 0.0000  4 In 3.32, 4 Sn 3.38, 4 Eu 3.38
In 0.0000 0.0000 0.5000  4 In 3.32, 4 Sn 3.38, 4 Eu 3.38
Eu 0.5000 0.5000 0.5000  4 Sn 3.32, 8 In 3.38

For the formation enthalpy at 0 K, the calculation gives -0.4335 eV/atom. The total energy is -5.372 eV/atom. The value obtained for the relative energy among the computed polymorphs is 0.00 eV per formula unit.

10.
Hf5Zr5Ge6: optimized geometry, PBE.

Lattice parameters (Å, degrees): 5.5868 8.0486 8.0486 119.86 90.00 90.00
With the nearest neighbours (Å) after each atom.
Sites, in units of the cell vectors:
Ge 0.0000 0.0009 0.3896  5 Hf 2.75-2.86, 4 Zr 2.76-3.00
Ge 0.5000 0.3902 0.3902  3 Zr 2.75-2.87, 6 Hf 2.85-3.00
Zr 0.5000 0.2522 0.0008  5 Ge 2.75-3.00
Zr 0.5000 0.7458 0.7458  5 Ge 2.76-3.00
Ge 0.5000 0.9999 0.6098  5 Zr 2.76-3.01, 4 Hf 2.85-2.86
Hf 0.2499 0.6669 0.3332  2 Hf 2.79, 6 Ge 2.85-2.86
Ge 0.0000 0.6085 0.6085  4 Zr 2.77-3.00, 5 Hf 2.85-2.86
Hf 0.0000 0.2544 0.2544  5 Ge 2.75-3.00
Ge 0.0000 0.3896 0.0009  5 Hf 2.75-2.86, 4 Zr 2.76-3.00
Zr 0.5000 0.0008 0.2522  5 Ge 2.75-3.00
Ge 0.5000 0.6098 0.9999  5 Zr 2.76-3.01, 4 Hf 2.85-2.86
Hf 0.2499 0.3332 0.6669  2 Hf 2.79, 6 Ge 2.85-2.86
Zr 0.0000 0.7479 0.9999  5 Ge 2.76-3.01
Hf 0.7501 0.6669 0.3332  2 Hf 2.79, 6 Ge 2.85-2.86
Zr 0.0000 0.9999 0.7479  5 Ge 2.76-3.01
Hf 0.7501 0.3332 0.6669  2 Hf 2.79, 6 Ge 2.85-2.86

For the formation enthalpy at 0 K, the calculation gives -0.7496 eV/atom. The total energy is -8.263 eV/atom.